La4WO10: optimized geometry, GGA+U.

- SG: I4/m, No. 87
- Electronic total energy: -7.7923 eV/atom

a = 6.8111 Å, b = 6.8111 Å, c = 6.8111 Å
α = 99.85°, β = 99.85°, γ = 131.13°
Last column: nearest neighbours and their distance in Å.
Element x y z (fractional)
La1 0.0988 0.6969 0.7957  8 O 2.39-2.58
La2 0.3031 0.0988 0.4019  8 O 2.39-2.58
La3 0.6969 0.9012 0.5981  8 O 2.39-2.58
La4 0.9012 0.3031 0.2043  8 O 2.39-2.58
W1 0.5000 0.5000 0.0000  8 O 2.10
O1 0.1111 0.3758 0.9187  1 W 2.10
O2 0.1923 0.1111 0.7353  1 W 2.10
O3 0.2500 0.7500 0.5000  4 La 2.39
O4 0.3758 0.4571 0.2647  1 W 2.10
O5 0.4571 0.1923 0.0813  1 W 2.10
O6 0.5429 0.8077 0.9187  1 W 2.10
O7 0.6242 0.5429 0.7353  1 W 2.10
O8 0.7500 0.2500 0.5000  4 La 2.39
O9 0.8077 0.8889 0.2647  1 W 2.10
O10 0.8889 0.6242 0.0813  1 W 2.10